PmY3Sb3: optimized geometry, GGA-PBE.

Computed properties:
uncorrected formation energy: -815 meV per atom
ΔE to the lowest computed polymorph: 219.1 meV/atom
volume: 410 Å³ per cell
crystal system: hexagonal
density of states at the Fermi level: 10.82 states/eV/cell

Cell lengths 5.7515, 9.0755, 9.0755 Å; angles 120.00, 90.00, 90.00 degrees
Site moments in Bohr magnetons follow the coordinates.
Element x y z (fractional)
Pm: 0.2500 0.6667 0.3333  0.13
Pm: 0.7500 0.3333 0.6667  0.13
Y: 0.2500 0.7627 0.7511  0.07
Y: 0.2500 0.2489 0.0116  0.07
Y: 0.2500 0.9884 0.2373  0.07
Y: 0.7500 0.2373 0.2489  0.07
Y: 0.7500 0.7511 0.9884  0.07
Y: 0.7500 0.0116 0.7627  0.07
Sb: 0.7500 0.6313 0.5760  -0.01
Sb: 0.7500 0.4240 0.0553  -0.01
Sb: 0.7500 0.9447 0.3687  -0.01
Sb: 0.2500 0.3687 0.4240  -0.01
Sb: 0.2500 0.5760 0.9447  -0.01
Sb: 0.2500 0.0553 0.6313  -0.01

***

Pm12Y5Sb3: optimized geometry, GGA-PBE.

Computed properties:
uncorrected formation energy: 521 meV per atom
volume: 3076 Å³ per cell
crystal system: cubic
density of states at the Fermi level: 121.72 states/eV/cell

Cell lengths 15.8680, 15.8680, 15.8680 Å; angles 109.47, 109.47, 109.47 degrees
Element x y z (fractional)
Sb: 0.7500 0.3750 0.1250
Sb: 0.8750 0.7500 0.1250
Sb: 0.3750 0.7500 0.6250
Sb: 0.2500 0.1250 0.3750
Sb: 0.8750 0.1250 0.2500
Sb: 0.3750 0.6250 0.2500
Sb: 0.6250 0.3750 0.7500
Sb: 0.1250 0.8750 0.7500
Sb: 0.7500 0.8750 0.6250
Sb: 0.6250 0.2500 0.3750
Sb: 0.1250 0.2500 0.8750
Sb: 0.2500 0.6250 0.8750
Y: 0.1250 0.3750 0.2500
Y: 0.0000 0.5000 0.0000
Y: 0.0000 0.0000 0.0000
Y: 0.3750 0.2500 0.1250
Y: 0.5000 0.0000 0.5000
Y: 0.5000 0.5000 0.0000
Y: 0.1250 0.7500 0.3750
Y: 0.7500 0.1250 0.8750
Y: 0.7500 0.6250 0.3750
Y: 0.3750 0.1250 0.7500
Y: 0.6250 0.8750 0.2500
Y: 0.5000 0.5000 0.5000
Y: 0.5000 0.0000 0.0000
Y: 0.0000 0.0000 0.5000
Y: 0.2500 0.3750 0.6250
Y: 0.2500 0.8750 0.1250
Y: 0.0000 0.5000 0.5000
Y: 0.8750 0.2500 0.6250
Y: 0.6250 0.7500 0.8750
Y: 0.8750 0.6250 0.7500
Pm: 0.7312 0.1454 0.0702
Pm: 0.3390 0.5702 0.4248
Pm: 0.9298 0.3546 0.2688
Pm: 0.5702 0.2312 0.1454
Pm: 0.5857 0.7312 0.6610
Pm: 0.9298 0.5752 0.1610
Pm: 0.3390 0.7688 0.4143
Pm: 0.0752 0.9143 0.1454
Pm: 0.5752 0.9298 0.6610
Pm: 0.7312 0.5857 0.1610
Pm: 0.7688 0.4298 0.3546
Pm: 0.8390 0.9248 0.0702
Pm: 0.1454 0.7312 0.5702
Pm: 0.3546 0.4248 0.0857
Pm: 0.0857 0.9248 0.3546
Pm: 0.4143 0.1454 0.5752
Pm: 0.0857 0.1610 0.2312
Pm: 0.4298 0.6610 0.0752
Pm: 0.8390 0.9143 0.2688
Pm: 0.1454 0.4143 0.0752
Pm: 0.3546 0.9298 0.7688
Pm: 0.5752 0.6454 0.4143
Pm: 0.9248 0.8390 0.5702
Pm: 0.7688 0.3390 0.9143
Pm: 0.4248 0.3546 0.5857
Pm: 0.0752 0.1610 0.4298
Pm: 0.2312 0.6610 0.0857
Pm: 0.1610 0.0857 0.7312
Pm: 0.6454 0.0702 0.2312
Pm: 0.8546 0.5857 0.9248
Pm: 0.5702 0.3390 0.9248
Pm: 0.5857 0.8546 0.4248
Pm: 0.9143 0.8390 0.7688
Pm: 0.9143 0.0752 0.6454
Pm: 0.8546 0.2688 0.4298
Pm: 0.1610 0.0752 0.9298
Pm: 0.6454 0.5752 0.9143
Pm: 0.4248 0.0702 0.3390
Pm: 0.2688 0.4143 0.8390
Pm: 0.2312 0.5702 0.6454
Pm: 0.9248 0.0857 0.8546
Pm: 0.6610 0.2312 0.5857
Pm: 0.4298 0.7688 0.8546
Pm: 0.0702 0.4248 0.8390
Pm: 0.4143 0.2688 0.3390
Pm: 0.0702 0.6454 0.7312
Pm: 0.6610 0.4298 0.5752
Pm: 0.2688 0.8546 0.9298

***

PmYSb2: optimized geometry, GGA-PBE.

Computed properties:
uncorrected formation energy: -1053 meV per atom
ΔE to the lowest computed polymorph: 121.7 meV/atom
volume: 127 Å³ per cell
crystal system: trigonal
density of states at the Fermi level: 0.44 states/eV/cell

Cell lengths 4.4131, 4.4131, 7.9453 Å; angles 73.88, 73.88, 60.00 degrees
Element x y z (fractional)
Pm: 0.6690 0.6690 0.9931
Y: 0.4979 0.4979 0.5062
Sb: 0.0840 0.0840 0.7481
Sb: 0.2492 0.2492 0.2525

***

Pm4YSb5: optimized geometry, GGA-PBE.

Computed properties:
uncorrected formation energy: -1181 meV per atom
volume: 317 Å³ per cell
crystal system: tetragonal
density of states at the Fermi level: 1.16 states/eV/cell

Cell lengths 4.4748, 4.4748, 16.1213 Å; angles 97.98, 97.98, 90.00 degrees
Element x y z (fractional)
Pm: 0.4004 0.4004 0.8009
Pm: 0.8005 0.8005 0.6011
Pm: 0.1995 0.1995 0.3989
Pm: 0.5996 0.5996 0.1991
Y: 0.0000 0.0000 0.0000
Sb: 0.0987 0.0987 0.1974
Sb: 0.5000 0.5000 0.0000
Sb: 0.9013 0.9013 0.8026
Sb: 0.3000 0.3000 0.6001
Sb: 0.7000 0.7000 0.3999

***

PmYSb2: optimized geometry, GGA-PBE.

Computed properties:
uncorrected formation energy: -1103 meV per atom
ΔE to the lowest computed polymorph: 72.0 meV/atom
volume: 249 Å³ per cell
crystal system: hexagonal
density of states at the Fermi level: 1.78 states/eV/cell

Cell lengths 4.4392, 4.4392, 14.5922 Å; angles 90.00, 90.00, 120.00 degrees
Element x y z (fractional)
Pm: 0.0000 0.0000 0.5000
Pm: 0.0000 0.0000 0.0000
Y: 0.6667 0.3333 0.2500
Y: 0.3333 0.6667 0.7500
Sb: 0.3333 0.6667 0.3741
Sb: 0.6667 0.3333 0.8741
Sb: 0.6667 0.3333 0.6259
Sb: 0.3333 0.6667 0.1259

***

PmYZnSb: optimized geometry, GGA-PBE.

Computed properties:
uncorrected formation energy: -559 meV per atom
volume: 103 Å³ per cell
crystal system: cubic
density of states at the Fermi level: 3.14 states/eV/cell

Cell lengths 5.2683, 5.2683, 5.2683 Å; angles 60.00, 60.00, 60.00 degrees
Element x y z (fractional)
Y: 0.7500 0.7500 0.7500
Sb: 0.0000 0.0000 0.0000
Zn: 0.5000 0.5000 0.5000
Pm: 0.2500 0.2500 0.2500

***

Pm6Zn5Sb: optimized geometry, GGA-PBE.

Computed properties:
uncorrected formation energy: -426 meV per atom
volume: 304 Å³ per cell
crystal system: orthorhombic
density of states at the Fermi level: 12.48 states/eV/cell

Cell lengths 5.2292, 9.0798, 9.0798 Å; angles 120.25, 106.74, 106.74 degrees
Element x y z (fractional)
Sb: 0.0000 0.0000 0.0000
Zn: 0.5000 0.1737 0.8263
Zn: 0.0000 0.3336 0.6664
Zn: 0.5000 0.5000 0.5000
Zn: 0.0000 0.6664 0.3336
Zn: 0.5000 0.8263 0.1737
Pm: 0.2531 0.0836 0.4226
Pm: 0.7469 0.5774 0.9164
Pm: 0.7558 0.2557 0.2557
Pm: 0.2442 0.7443 0.7443
Pm: 0.2531 0.4226 0.0836
Pm: 0.7469 0.9164 0.5774

***

Pm5Zn2Sb: optimized geometry, GGA-PBE.

Computed properties:
uncorrected formation energy: -458 meV per atom
volume: 453 Å³ per cell
crystal system: tetragonal
density of states at the Fermi level: 13.21 states/eV/cell

Cell lengths 8.4156, 8.4156, 8.7353 Å; angles 118.80, 118.80, 90.00 degrees
Element x y z (fractional)
Pm: 0.5089 0.7015 0.7104
Pm: 0.7985 0.9911 0.2896
Pm: 0.0000 0.0000 0.0000
Pm: 0.5000 0.5000 0.0000
Pm: 0.2015 0.0089 0.7104
Pm: 0.7015 0.2015 0.7104
Pm: 0.0089 0.5089 0.7104
Pm: 0.2985 0.7985 0.2896
Pm: 0.9911 0.4911 0.2896
Pm: 0.4911 0.2985 0.2896
Zn: 0.1416 0.3584 0.0000
Zn: 0.6416 0.1416 0.0000
Zn: 0.3584 0.8584 0.0000
Zn: 0.8584 0.6416 0.0000
Sb: 0.7500 0.7500 0.5000
Sb: 0.2500 0.2500 0.5000